# K3CrF | Alexandria | GGA-PBEsol | relaxed
data_K3CrF
_cell_length_a 6.491
_cell_length_b 6.491
_cell_length_c 6.491
_cell_angle_alpha 90.00
_cell_angle_beta 90.00
_cell_angle_gamma 90.00
_space_group_name_H-M_alt 'P m -3 m'
_space_group_IT_number 221
_space_group_name_Hall '-P 4 2 3'
loop_
_atom_site_label
_atom_site_type_symbol
_atom_site_fract_x
_atom_site_fract_y
_atom_site_fract_z
_atom_site_occupancy
K1 K 0.000 0.000 0.500 1
Cr1 Cr 0.000 0.000 0.000 1
F1 F 0.500 0.500 0.500 1
# Electronic total energy ... -2.92 eV/atom

***

# Cr2AsSe | Alexandria | GGA-PBEsol | relaxed
data_Cr2AsSe
_cell_length_a 6.287
_cell_length_b 6.287
_cell_length_c 6.287
_cell_angle_alpha 90.00
_cell_angle_beta 90.00
_cell_angle_gamma 90.00
_space_group_name_H-M_alt 'F -4 3 m'
_space_group_IT_number 216
_space_group_name_Hall 'F -4 2 3'
loop_
_atom_site_label
_atom_site_type_symbol
_atom_site_fract_x
_atom_site_fract_y
_atom_site_fract_z
_atom_site_occupancy
Cr1 Cr 0.000 0.000 0.000 1
Cr2 Cr 0.250 0.250 0.250 1
As1 As 0.250 0.250 0.750 1
Se1 Se 0.000 0.000 0.500 1
# ΔE to the lowest computed polymorph ... 0.455 eV/atom

***

# CeNiSn2 | Alexandria | GGA-PBEsol | relaxed
data_CeNiSn2
_cell_length_a 4.379
_cell_length_b 17.857
_cell_length_c 4.490
_cell_angle_alpha 90.00
_cell_angle_beta 90.00
_cell_angle_gamma 90.00
_space_group_name_H-M_alt 'C m c m'
_space_group_IT_number 63
_space_group_name_Hall '-C 2c 2'
loop_
_atom_site_label
_atom_site_type_symbol
_atom_site_fract_x
_atom_site_fract_y
_atom_site_fract_z
_atom_site_occupancy
Ce1 Ce 0.000 0.110 0.250 1
Ni1 Ni 0.000 0.318 0.250 1
Sn1 Sn 0.000 0.251 0.750 1
Sn2 Sn 0.000 0.454 0.250 1
# Electronic total energy ... -5.86 eV/atom

***

# Be3Ag | Alexandria | GGA-PBEsol | relaxed
data_Be3Ag
_cell_length_a 3.582
_cell_length_b 3.582
_cell_length_c 3.224
_cell_angle_alpha 90.00
_cell_angle_beta 90.00
_cell_angle_gamma 90.00
_space_group_name_H-M_alt 'P 4/m m m'
_space_group_IT_number 123
_space_group_name_Hall '-P 4 2'
loop_
_atom_site_label
_atom_site_type_symbol
_atom_site_fract_x
_atom_site_fract_y
_atom_site_fract_z
_atom_site_occupancy
Be1 Be 0.000 0.000 0.000 1
Be2 Be 0.000 0.500 0.500 1
Ag1 Ag 0.500 0.500 0.000 1
# ΔE to the lowest computed polymorph ... 0.047 eV/atom

***

# Na2TlFe2 | Alexandria | GGA-PBEsol | relaxed
data_Na2TlFe2
_cell_length_a 3.221
_cell_length_b 3.221
_cell_length_c 20.856
_cell_angle_alpha 90.00
_cell_angle_beta 90.00
_cell_angle_gamma 90.00
_space_group_name_H-M_alt 'I 4/m m m'
_space_group_IT_number 139
_space_group_name_Hall '-I 4 2'
loop_
_atom_site_label
_atom_site_type_symbol
_atom_site_fract_x
_atom_site_fract_y
_atom_site_fract_z
_atom_site_occupancy
Na1 Na 0.000 0.000 0.123 1
Tl1 Tl 0.000 0.000 0.500 1
Fe1 Fe 0.000 0.500 0.250 1
# Electronic total energy ... -4.18 eV/atom

***

# PrOs2 | Alexandria | GGA-PBEsol | relaxed
data_PrOs2
_cell_length_a 5.3183
_cell_length_b 5.3183
_cell_length_c 9.0652
_cell_angle_alpha 90.00
_cell_angle_beta 90.00
_cell_angle_gamma 120.00
_space_group_name_H-M_alt 'P 63/m m c'
_space_group_IT_number 194
_space_group_name_Hall '-P 6c 2c'
loop_
_atom_site_label
_atom_site_type_symbol
_atom_site_fract_x
_atom_site_fract_y
_atom_site_fract_z
_atom_site_occupancy
Pr1 Pr 0.3333 0.6667 0.0642 1
Os1 Os 0.0000 0.0000 0.0000 1
Os2 Os 0.1692 0.3383 0.7500 1
# ΔE to the lowest computed polymorph ... 0.000 eV/atom

***

Summary of total moment in Bohr magnetons per cell
6.01; 1.45; 2.71; 0.00; 9.72; 0.00
(order as listed above)